# NaAlC (PBE-GGA, optimized geometry)
# **Fermi-level density of states**: 0.29 states/eV/atom
# **Calculated volume**: 17.58 Å³ per atom
# **Magnetization**: 0.0 μB per formula unit
# **Formation energy**: 0.328 eV/atom
# **Energy**: -13.30 eV per formula unit
data_NaAlC
_cell_length_a 3.256
_cell_length_b 5.079
_cell_length_c 6.376
_cell_angle_alpha 90.00
_cell_angle_beta 90.00
_cell_angle_gamma 90.00
_space_group_name_H-M_alt 'P 1'
_space_group_IT_number 1
loop_
_space_group_symop_operation_xyz
'x,y,z'
loop_
_atom_site_label
_atom_site_type_symbol
_atom_site_fract_x
_atom_site_fract_y
_atom_site_fract_z
Na1 Na 0.000 0.000 0.000
Na2 Na 0.500 0.000 0.500
Al1 Al 0.000 0.500 0.296
Al2 Al 0.000 0.500 0.704
C1 C 0.500 0.500 0.109
C2 C 0.500 0.500 0.891